! CoB3W3 (PBE, relaxed); values from VASP
! * uncorrected energy: -9.872 eV per atom
! * energy of formation: -0.44 eV/atom
! * D(E_F): 7.764 states/eV per cell
! * magnetization: 0.0000 μB per atom
! * space group: Cmcm (63)
&SYSTEM
  ibrav = 0, nat = 14, ntyp = 3
/
ATOMIC_SPECIES
Co 58.93 Co.upf
B 10.81 B.upf
W 183.84 W.upf
ATOMIC_POSITIONS crystal
Co 0.500 0.500 0.000
Co 0.500 0.500 0.500
B 0.792 0.208 0.250
B 0.208 0.792 0.750
B 0.085 0.915 0.603
B 0.915 0.085 0.397
B 0.915 0.085 0.103
B 0.085 0.915 0.897
W 0.498 0.502 0.250
W 0.502 0.498 0.750
W 0.788 0.212 0.606
W 0.212 0.788 0.394
W 0.212 0.788 0.106
W 0.788 0.212 0.894
CELL_PARAMETERS angstrom
-0.425 -2.335 -3.858
3.289 1.552 2.699
-0.249 -9.226 5.610